1.
Compound: Zr3PdRu
Source: Alexandria
Functional: PBE
Structure: optimized geometry

formation enthalpy at 0 K: 0.329 eV per atom
calculated volume: 122.5 Å³/f.u.
D(E_F): 8.76 states/eV/f.u.
crystal system: cubic
relative energy among the computed polymorphs: 0.0000 eV/atom

abc: 4.967 4.967 4.967
angles: 90.00 90.00 90.00
Space group Pm-3m (No. 221)
Asymmetric unit:
Zr: 0.000 0.000 0.500 x3
Pd: 0.500 0.500 0.500 x1
Ru: 0.000 0.000 0.000 x1


2.
Compound: CaLaHg2
Source: Alexandria
Functional: PBE
Structure: optimized geometry

formation enthalpy at 0 K: -0.374 eV per atom
calculated volume: 127.9 Å³/f.u.
D(E_F): 3.66 states/eV/f.u.
crystal system: trigonal
relative energy among the computed polymorphs: 0.1941 eV/atom

abc: 4.0694 4.0694 26.7499
angles: 90.00 90.00 120.00
Space group R-3m (No. 166, hexagonal axes)
Asymmetric unit:
Ca: 0.0000 0.0000 0.0000 x3
La: 0.0000 0.0000 0.5000 x3
Hg: 0.0000 0.0000 0.2517 x6


3.
Compound: Ac2Pm8Dy3
Source: Alexandria
Functional: PBE
Structure: optimized geometry

formation enthalpy at 0 K: 0.189 eV per atom
calculated volume: 463.1 Å³/f.u.
D(E_F): 20.85 states/eV/f.u.
crystal system: monoclinic

abc: 13.382 11.981 6.305
angles: 90.00 113.63 90.00
Space group C2/m (No. 12)
Asymmetric unit:
Ac: 0.201 0.000 0.346 x4
Pm: 0.074 0.000 0.764 x4
Pm: 0.145 0.500 0.052 x4
Pm: 0.164 0.249 0.669 x8
Dy: 0.000 0.247 0.000 x4
Dy: 0.000 0.500 0.500 x2


4.
Compound: MgTl6Sn12
Source: Alexandria
Functional: PBE
Structure: optimized geometry

formation enthalpy at 0 K: 0.075 eV per atom
calculated volume: 569.9 Å³/f.u.
D(E_F): 10.41 states/eV/f.u.
crystal system: trigonal

abc: 12.6330 12.6330 12.3693
angles: 90.00 90.00 120.00
Space group R-3 (No. 148, hexagonal axes)
Asymmetric unit:
Mg: 0.0000 0.0000 0.0000 x3
Tl: 0.0567 0.8728 0.7733 x18
Sn: 0.0658 0.5950 0.7141 x18
Sn: 0.0919 0.5647 0.0974 x18


5.
Compound: ErTi5
Source: Alexandria
Functional: PBE
Structure: optimized geometry

formation enthalpy at 0 K: 0.181 eV per atom
calculated volume: 115.0 Å³/f.u.
D(E_F): 9.97 states/eV/f.u.
crystal system: orthorhombic

abc: 4.147 13.316 4.165
angles: 90.00 90.00 90.00
Space group Cmmm (No. 65)
Asymmetric unit:
Er: 0.000 0.000 0.000 x2
Ti: 0.000 0.176 0.500 x4
Ti: 0.000 0.322 0.000 x4
Ti: 0.000 0.500 0.500 x2


6.
Compound: Dy6BiRu
Source: Alexandria
Functional: PBE
Structure: optimized geometry

formation enthalpy at 0 K: -0.136 eV per atom
calculated volume: 267.9 Å³/f.u.
D(E_F): 9.09 states/eV/f.u.
crystal system: triclinic

abc: 6.826 6.830 7.712
angles: 63.74 63.80 60.03
Space group P-1 (No. 2)
Asymmetric unit:
Dy: 0.039 0.416 0.270 x2
Dy: 0.225 0.962 0.730 x2
Dy: 0.415 0.775 0.270 x2
Bi: 0.500 0.500 0.000 x1
Ru: 0.000 0.000 0.500 x1


7.
Compound: PCl5
Source: Alexandria
Functional: PBE
Structure: optimized geometry

calculated volume: 171.8 Å³/f.u.
D(E_F): 3.98 states/eV/f.u.
crystal system: orthorhombic
ΔE_f (raw): 0.141 eV per atom

abc: 4.768 3.548 20.309
angles: 90.00 90.00 90.00
Space group Amm2 (No. 38)
Asymmetric unit:
P: 0.000 0.000 0.000 x2
Cl: 0.000 0.000 0.391 x2
Cl: 0.000 0.000 0.574 x2
Cl: 0.500 0.000 0.007 x2
Cl: 0.500 0.000 0.371 x2
Cl: 0.500 0.000 0.696 x2


8.
Compound: NbInSe4
Source: Alexandria
Functional: PBE
Structure: optimized geometry

calculated volume: 137.9 Å³/f.u.
D(E_F): 1.67 states/eV/f.u.
crystal system: monoclinic
ΔE_f (raw): -0.394 eV per atom

abc: 8.567 13.026 4.968
angles: 90.00 95.62 90.00
Space group C2/m (No. 12)
Asymmetric unit:
Nb: 0.000 0.185 0.000 x4
In: 0.145 0.500 0.401 x4
Se: 0.000 0.248 0.500 x4
Se: 0.064 0.000 0.290 x4
Se: 0.194 0.360 0.012 x8


9.
Compound: CuAs2Pt
Source: Alexandria
Functional: PBE
Structure: optimized geometry

formation enthalpy at 0 K: -0.014 eV per atom
calculated volume: 70.1 Å³/f.u.
D(E_F): 1.86 states/eV/f.u.
crystal system: orthorhombic
relative energy among the computed polymorphs: 0.0460 eV/atom

abc: 2.830 3.659 6.770
angles: 90.00 90.00 90.00
Space group Pmm2 (No. 25)
Asymmetric unit:
Cu: 0.000 0.000 0.000 x1
As: 0.000 0.000 0.421 x1
As: 0.500 0.500 0.828 x1
Pt: 0.500 0.500 0.226 x1


10.
Compound: Zn2GePt
Source: Alexandria
Functional: PBE
Structure: optimized geometry

formation enthalpy at 0 K: 0.003 eV per atom
calculated volume: 72.2 Å³/f.u.
D(E_F): 1.55 states/eV/f.u.
crystal system: tetragonal

abc: 7.696 7.696 4.879
angles: 90.00 90.00 90.00
Space group I-42d (No. 122)
Asymmetric unit:
Zn: 0.214 0.250 0.125 x8
Ge: 0.000 0.000 0.500 x4
Pt: 0.000 0.000 0.000 x4


11.
Compound: Y2Nb3Si4
Source: Alexandria
Functional: PBE
Structure: optimized geometry

calculated volume: 163.3 Å³/f.u.
D(E_F): 4.66 states/eV/f.u.
crystal system: monoclinic
ΔE_f (raw): -0.832 eV per atom

abc: 7.060 7.070 6.910
angles: 90.00 108.78 90.00
Space group P2_1/c (No. 14)
Asymmetric unit:
Y: 0.188 0.170 0.065 x4
Nb: 0.256 0.677 0.248 x4
Nb: 0.500 0.000 0.500 x2
Si: 0.083 0.537 0.868 x4
Si: 0.494 0.125 0.872 x4


12.
Compound: BaAgIO2
Source: Alexandria
Functional: PBE
Structure: optimized geometry

calculated volume: 114.9 Å³/f.u.
D(E_F): 3.95 states/eV/f.u.
crystal system: tetragonal
relative energy among the computed polymorphs: 0.0000 eV/atom
ΔE_f (raw): -0.535 eV per atom

abc: 4.665 4.665 5.280
angles: 90.00 90.00 90.00
Space group P4/mmm (No. 123)
Asymmetric unit:
Ba: 0.000 0.000 0.000 x1
Ag: 0.500 0.500 0.500 x1
I: 0.500 0.500 0.000 x1
O: 0.000 0.500 0.500 x2